DFT (GGA-PBE) results for a geometry-optimized BeAlInAs2 structure.

Lattice parameters (Å, degrees): 5.0092 4.4719 5.0092 90.00 90.00 90.00
Fractional coordinates of all 5 atoms:
Al  0.0000  0.0000  0.0000
In  0.5000  0.5000  0.5000
As  0.5000  0.0000  0.0000
As  0.0000  0.0000  0.5000
Be  0.0000  0.5000  0.0000

E_tot: -3.295 eV per atom
Magnetic moment: 0.000 μB per atom
Energy relative to the elements: 0.61 eV per atom